Material: YTeSe2Br
Method: DFT, PBE
State: relaxed

The energy relative to the elements, uncorrected is -0.056 eV per atom. The value obtained for the volume is 31.8 Å³ per atom.

a b c (Å): 5.3940 5.3940 5.4680
angles (deg): 90.00 90.00 90.00
Space group P4/mmm (No. 123)
Asymmetric unit:
Y: 0.0000 0.0000 0.0000 [1 per cell]
Te: 0.5000 0.5000 0.5000 [1 per cell]
Se: 0.0000 0.5000 0.5000 [2 per cell]
Br: 0.5000 0.5000 0.0000 [1 per cell]